Record 1
Material: NdSm6Th
Method: DFT, PBE-GGA
State: optimized geometry

Cell lengths 6.6334, 6.8532, 6.8999 Å; angles 61.41, 80.36, 89.64 degrees
With the nearest neighbours (Å) after each atom.
Fractional positions:
Nd (0.0000, 0.0000, 0.0000)  2 Th 3.32, 4 Sm 3.48-3.54
Sm (0.2346, 0.5761, 0.5195)  5 Sm 3.27-3.65, 1 Th 3.52
Sm (0.2545, 0.5429, 0.0050)  5 Sm 3.27-3.65, 1 Th 3.52, 1 Nd 3.54
Sm (0.2721, 0.0929, 0.4826)  4 Sm 3.27-3.45, 1 Nd 3.48
Sm (0.7279, 0.9071, 0.5174)  4 Sm 3.27-3.45, 1 Nd 3.48
Sm (0.7455, 0.4571, 0.9950)  5 Sm 3.27-3.65, 1 Th 3.52, 1 Nd 3.54
Sm (0.7654, 0.4239, 0.4805)  5 Sm 3.27-3.65, 1 Th 3.52
Th (0.5000, 0.0000, 0.0000)  2 Nd 3.32, 4 Sm 3.52

Summary:
symmetry = P-1
formation energy = 0.203 eV per atom

Record 2
Material: Mg2CuH2
Method: DFT, PBE-GGA
State: optimized geometry

Cell lengths 6.8412, 6.8412, 2.7286 Å; angles 90.00, 90.00, 90.00 degrees
With the nearest neighbours (Å) after each atom.
Fractional positions:
Mg (0.1489, 0.3511, 0.0000)  4 H 2.26
Mg (0.3511, 0.8511, 0.0000)  4 H 2.26
Mg (0.6489, 0.1489, 0.0000)  4 H 2.26
Mg (0.8511, 0.6489, 0.0000)  4 H 2.26
Cu (0.0000, 0.0000, 0.0000)  4 Mg 2.61, 2 Cu 2.73
Cu (0.5000, 0.5000, 0.0000)  4 Mg 2.61, 2 Cu 2.73
H (0.1120, 0.6120, 0.5000)  1 H 2.17, 4 Mg 2.26
H (0.3880, 0.1120, 0.5000)  1 H 2.17, 4 Mg 2.26
H (0.6120, 0.8880, 0.5000)  1 H 2.17, 4 Mg 2.26
H (0.8880, 0.3880, 0.5000)  1 H 2.17, 4 Mg 2.26

Summary:
symmetry = P4/mbm

Number 1: polymorph energy (0 for the lowest one) 173 meV/atom, total energy -4.86 eV per atom. Number 2: polymorph energy (0 for the lowest one) 434 meV/atom, total energy -2.38 eV per atom.